Record 1
# La3Sn13Ir4, relaxed, DFT GGA-PBE
data_La3Sn13Ir4
_chemical_formula_sum 'La6 Sn26 Ir8'
_cell_length_a 9.8422
_cell_length_b 9.8422
_cell_length_c 9.8422
_cell_angle_alpha 90.00
_cell_angle_beta 90.00
_cell_angle_gamma 90.00
_symmetry_space_group_name_H-M 'P 1'
_symmetry_Int_Tables_number 1
loop_
_symmetry_equiv_pos_as_xyz
'x,y,z'
loop_
_atom_site_label
_atom_site_fract_x
_atom_site_fract_y
_atom_site_fract_z
_atom_site_occupancy
Sn1 0.8477 0.3068 0.0000 1
Sn2 0.0000 0.1523 0.6932 1
Ir1 0.7500 0.2500 0.7500 1
Sn3 0.5000 0.5000 0.5000 1
Sn4 0.8068 0.6523 0.5000 1
Sn5 0.6932 0.0000 0.1523 1
Sn6 0.0000 0.8477 0.6932 1
Sn7 0.6523 0.5000 0.1932 1
Sn8 0.1523 0.6932 0.0000 1
Sn9 0.0000 0.1523 0.3068 1
Sn10 0.6932 0.0000 0.8477 1
Sn11 0.6523 0.5000 0.8068 1
La1 0.7500 0.0000 0.5000 1
La2 0.5000 0.7500 0.0000 1
La3 0.0000 0.5000 0.2500 1
Ir2 0.2500 0.2500 0.2500 1
Sn12 0.0000 0.8477 0.3068 1
Sn13 0.3477 0.5000 0.1932 1
Sn14 0.1523 0.3068 0.0000 1
Sn15 0.5000 0.8068 0.3477 1
Sn16 0.8068 0.3477 0.5000 1
Sn17 0.3477 0.5000 0.8068 1
Sn18 0.5000 0.1932 0.6523 1
Sn19 0.8477 0.6932 0.0000 1
Sn20 0.0000 0.0000 0.0000 1
La4 0.2500 0.0000 0.5000 1
Ir3 0.2500 0.2500 0.7500 1
Sn21 0.5000 0.1932 0.3477 1
Ir4 0.7500 0.7500 0.2500 1
Sn22 0.1932 0.6523 0.5000 1
Sn23 0.3068 0.0000 0.8477 1
Ir5 0.7500 0.2500 0.2500 1
La5 0.5000 0.2500 0.0000 1
Ir6 0.2500 0.7500 0.7500 1
Sn24 0.5000 0.8068 0.6523 1
Sn25 0.3068 0.0000 0.1523 1
La6 0.0000 0.5000 0.7500 1
Sn26 0.1932 0.3477 0.5000 1
Ir7 0.2500 0.7500 0.2500 1
Ir8 0.7500 0.7500 0.7500 1
# Theoretical density = 9.51 g/cm³
# Space group = No. 223

Record 2
# LaSnIr, relaxed, DFT GGA-PBE
data_LaSnIr
_chemical_formula_sum 'La3 Sn3 Ir3'
_cell_length_a 7.2314
_cell_length_b 7.2314
_cell_length_c 4.6359
_cell_angle_alpha 90.00
_cell_angle_beta 90.00
_cell_angle_gamma 120.00
_symmetry_space_group_name_H-M 'P 1'
_symmetry_Int_Tables_number 1
loop_
_symmetry_equiv_pos_as_xyz
'x,y,z'
loop_
_atom_site_label
_atom_site_fract_x
_atom_site_fract_y
_atom_site_fract_z
_atom_site_occupancy
La1 0.4436 0.4436 0.5000 1
Ir1 0.7701 0.7701 0.0000 1
Sn1 0.3333 0.6667 0.0000 1
Sn2 0.0000 0.0000 0.5000 1
La2 0.0000 0.5564 0.5000 1
Ir2 0.2299 0.0000 0.0000 1
Sn3 0.6667 0.3333 0.0000 1
Ir3 0.0000 0.2299 0.0000 1
La3 0.5564 0.0000 0.5000 1
# Theoretical density = 10.67 g/cm³
# Space group = No. 189

Record 3
# LaSnIr, relaxed, DFT GGA-PBE
data_LaSnIr
_chemical_formula_sum 'La1 Sn1 Ir1'
_cell_length_a 4.8092
_cell_length_b 4.8092
_cell_length_c 4.8092
_cell_angle_alpha 60.00
_cell_angle_beta 60.00
_cell_angle_gamma 60.00
_symmetry_space_group_name_H-M 'P 1'
_symmetry_Int_Tables_number 1
loop_
_symmetry_equiv_pos_as_xyz
'x,y,z'
loop_
_atom_site_label
_atom_site_fract_x
_atom_site_fract_y
_atom_site_fract_z
_atom_site_occupancy
Ir1 0.0000 0.0000 0.0000 1
La1 0.2500 0.2500 0.2500 1
Sn1 0.7500 0.7500 0.7500 1
# Theoretical density = 9.50 g/cm³
# Space group = No. 216

Record 4
# LaTaIr, relaxed, DFT GGA-PBE
data_LaTaIr
_chemical_formula_sum 'La1 Ta1 Ir1'
_cell_length_a 4.7137
_cell_length_b 4.7137
_cell_length_c 4.7137
_cell_angle_alpha 60.00
_cell_angle_beta 60.00
_cell_angle_gamma 60.00
_symmetry_space_group_name_H-M 'P 1'
_symmetry_Int_Tables_number 1
loop_
_symmetry_equiv_pos_as_xyz
'x,y,z'
loop_
_atom_site_label
_atom_site_fract_x
_atom_site_fract_y
_atom_site_fract_z
_atom_site_occupancy
Ir1 0.0000 0.0000 0.0000 1
La1 0.2500 0.2500 0.2500 1
Ta1 0.7500 0.7500 0.7500 1
# Theoretical density = 11.48 g/cm³
# Polymorph energy (0 for the lowest one) = 0.000 eV/atom
# Space group = No. 216
# Formation enthalpy at 0 K = 0.187 eV per atom

Record 5
# LaTa2Ir2, relaxed, DFT GGA-PBE
data_LaTa2Ir2
_chemical_formula_sum 'La1 Ta2 Ir2'
_cell_length_a 6.2192
_cell_length_b 6.2192
_cell_length_c 6.2192
_cell_angle_alpha 137.81
_cell_angle_beta 137.81
_cell_angle_gamma 61.19
_symmetry_space_group_name_H-M 'P 1'
_symmetry_Int_Tables_number 1
loop_
_symmetry_equiv_pos_as_xyz
'x,y,z'
loop_
_atom_site_label
_atom_site_fract_x
_atom_site_fract_y
_atom_site_fract_z
_atom_site_occupancy
Ta1 0.7500 0.2500 0.5000 1
La1 0.0000 0.0000 0.0000 1
Ta2 0.2500 0.7500 0.5000 1
Ir1 0.6276 0.6276 0.0000 1
Ir2 0.3724 0.3724 0.0000 1
# Theoretical density = 13.70 g/cm³
# Space group = No. 139
# Formation enthalpy at 0 K = -0.614 eV per atom

Record 6
# LaZrTaIr2, relaxed, DFT GGA-PBE
data_LaZrTaIr2
_chemical_formula_sum 'La1 Zr1 Ta1 Ir2'
_cell_length_a 6.1374
_cell_length_b 6.1374
_cell_length_c 6.1374
_cell_angle_alpha 134.42
_cell_angle_beta 134.42
_cell_angle_gamma 66.44
_symmetry_space_group_name_H-M 'P 1'
_symmetry_Int_Tables_number 1
loop_
_symmetry_equiv_pos_as_xyz
'x,y,z'
loop_
_atom_site_label
_atom_site_fract_x
_atom_site_fract_y
_atom_site_fract_z
_atom_site_occupancy
Ta1 0.3507 0.3507 0.0000 1
Ir1 0.2598 0.7598 0.5000 1
La1 0.9902 0.9902 0.0000 1
Zr1 0.6394 0.6394 0.0000 1
Ir2 0.7598 0.2598 0.5000 1
# Theoretical density = 11.38 g/cm³
# Space group = No. 107
# Formation enthalpy at 0 K = -0.258 eV per atom

Record 7
# LaTcIr, relaxed, DFT GGA-PBE
data_LaTcIr
_chemical_formula_sum 'La1 Tc1 Ir1'
_cell_length_a 4.5210
_cell_length_b 4.5210
_cell_length_c 4.5210
_cell_angle_alpha 60.00
_cell_angle_beta 60.00
_cell_angle_gamma 60.00
_symmetry_space_group_name_H-M 'P 1'
_symmetry_Int_Tables_number 1
loop_
_symmetry_equiv_pos_as_xyz
'x,y,z'
loop_
_atom_site_label
_atom_site_fract_x
_atom_site_fract_y
_atom_site_fract_z
_atom_site_occupancy
La1 0.7500 0.7500 0.7500 1
Tc1 0.0000 0.0000 0.0000 1
Ir1 0.2500 0.2500 0.2500 1
# Theoretical density = 10.91 g/cm³
# Polymorph energy (0 for the lowest one) = 0.000 eV/atom
# Space group = No. 216
# Formation enthalpy at 0 K = 0.349 eV per atom

Record 8
# LaThIr, relaxed, DFT GGA-PBE
data_LaThIr
_chemical_formula_sum 'La1 Th1 Ir1'
_cell_length_a 4.9983
_cell_length_b 4.9983
_cell_length_c 4.9983
_cell_angle_alpha 60.00
_cell_angle_beta 60.00
_cell_angle_gamma 60.00
_symmetry_space_group_name_H-M 'P 1'
_symmetry_Int_Tables_number 1
loop_
_symmetry_equiv_pos_as_xyz
'x,y,z'
loop_
_atom_site_label
_atom_site_fract_x
_atom_site_fract_y
_atom_site_fract_z
_atom_site_occupancy
Ir1 0.0000 0.0000 0.0000 1
La1 0.7500 0.7500 0.7500 1
Th1 0.2500 0.2500 0.2500 1
# Theoretical density = 10.59 g/cm³
# Polymorph energy (0 for the lowest one) = 0.000 eV/atom
# Space group = No. 216
# Formation enthalpy at 0 K = -0.465 eV per atom

Record 9
# La3TlIr, relaxed, DFT GGA-PBE
data_La3TlIr
_chemical_formula_sum 'La6 Tl2 Ir2'
_cell_length_a 5.9667
_cell_length_b 5.9667
_cell_length_c 8.8050
_cell_angle_alpha 90.00
_cell_angle_beta 90.00
_cell_angle_gamma 99.32
_symmetry_space_group_name_H-M 'P 1'
_symmetry_Int_Tables_number 1
loop_
_symmetry_equiv_pos_as_xyz
'x,y,z'
loop_
_atom_site_label
_atom_site_fract_x
_atom_site_fract_y
_atom_site_fract_z
_atom_site_occupancy
Ir1 0.6937 0.6937 0.0000 1
La1 0.7360 0.7360 0.3108 1
La2 0.7360 0.7360 0.6892 1
La3 0.2144 0.7856 0.0000 1
La4 0.2640 0.2640 0.3108 1
Ir2 0.3063 0.3063 0.0000 1
Tl1 0.2394 0.7606 0.5000 1
La5 0.2640 0.2640 0.6892 1
La6 0.7856 0.2144 0.0000 1
Tl2 0.7606 0.2394 0.5000 1
# Theoretical density = 8.73 g/cm³
# Space group = No. 65

Record 10
# La2TlIr, relaxed, DFT GGA-PBE
data_La2TlIr
_chemical_formula_sum 'La2 Tl1 Ir1'
_cell_length_a 5.1282
_cell_length_b 5.1282
_cell_length_c 5.1282
_cell_angle_alpha 60.00
_cell_angle_beta 60.00
_cell_angle_gamma 60.00
_symmetry_space_group_name_H-M 'P 1'
_symmetry_Int_Tables_number 1
loop_
_symmetry_equiv_pos_as_xyz
'x,y,z'
loop_
_atom_site_label
_atom_site_fract_x
_atom_site_fract_y
_atom_site_fract_z
_atom_site_occupancy
La1 0.7500 0.7500 0.7500 1
La2 0.0000 0.0000 0.0000 1
Ir1 0.2500 0.2500 0.2500 1
Tl1 0.5000 0.5000 0.5000 1
# Theoretical density = 11.74 g/cm³
# Space group = No. 216

Record 11
# La6Tl2Ir, relaxed, DFT GGA-PBE
data_La6Tl2Ir
_chemical_formula_sum 'La6 Tl2 Ir1'
_cell_length_a 3.9810
_cell_length_b 9.0673
_cell_length_c 9.0673
_cell_angle_alpha 120.00
_cell_angle_beta 90.00
_cell_angle_gamma 90.00
_symmetry_space_group_name_H-M 'P 1'
_symmetry_Int_Tables_number 1
loop_
_symmetry_equiv_pos_as_xyz
'x,y,z'
loop_
_atom_site_label
_atom_site_fract_x
_atom_site_fract_y
_atom_site_fract_z
_atom_site_occupancy
La1 0.0000 0.0000 0.7624 1
La2 0.0000 0.7624 0.0000 1
La3 0.5000 0.3973 0.0000 1
Tl1 0.0000 0.6666 0.3333 1
Ir1 0.5000 0.0002 0.0002 1
La4 0.5000 0.6027 0.6027 1
La5 0.0000 0.2377 0.2377 1
Tl2 0.0000 0.3333 0.6666 1
La6 0.5000 0.0000 0.3973 1
# Theoretical density = 8.40 g/cm³
# Space group = No. 189

Record 12
# LaTlIr2, relaxed, DFT GGA-PBE
data_LaTlIr2
_chemical_formula_sum 'La1 Tl1 Ir2'
_cell_length_a 4.9209
_cell_length_b 4.9209
_cell_length_c 4.9209
_cell_angle_alpha 60.00
_cell_angle_beta 60.00
_cell_angle_gamma 60.00
_symmetry_space_group_name_H-M 'P 1'
_symmetry_Int_Tables_number 1
loop_
_symmetry_equiv_pos_as_xyz
'x,y,z'
loop_
_atom_site_label
_atom_site_fract_x
_atom_site_fract_y
_atom_site_fract_z
_atom_site_occupancy
La1 0.2500 0.2500 0.2500 1
Ir1 0.0000 0.0000 0.0000 1
Tl1 0.5000 0.5000 0.5000 1
Ir2 0.7500 0.7500 0.7500 1
# Theoretical density = 14.34 g/cm³
# Space group = No. 216

Record 13
# LaTmIr, relaxed, DFT GGA-PBE
data_LaTmIr
_chemical_formula_sum 'La1 Tm1 Ir1'
_cell_length_a 4.7490
_cell_length_b 4.7490
_cell_length_c 4.7490
_cell_angle_alpha 60.00
_cell_angle_beta 60.00
_cell_angle_gamma 60.00
_symmetry_space_group_name_H-M 'P 1'
_symmetry_Int_Tables_number 1
loop_
_symmetry_equiv_pos_as_xyz
'x,y,z'
loop_
_atom_site_label
_atom_site_fract_x
_atom_site_fract_y
_atom_site_fract_z
_atom_site_occupancy
Tm1 0.0000 0.0000 0.0000 1
Ir1 0.2500 0.2500 0.2500 1
La1 0.7500 0.7500 0.7500 1
# Theoretical density = 10.96 g/cm³
# Polymorph energy (0 for the lowest one) = 0.000 eV/atom
# Space group = No. 216
# Formation enthalpy at 0 K = 0.050 eV per atom

Record 14
# LaUIr, relaxed, DFT GGA-PBE
data_LaUIr
_chemical_formula_sum 'La1 U1 Ir1'
_cell_length_a 4.8791
_cell_length_b 4.8791
_cell_length_c 4.8791
_cell_angle_alpha 60.00
_cell_angle_beta 60.00
_cell_angle_gamma 60.00
_symmetry_space_group_name_H-M 'P 1'
_symmetry_Int_Tables_number 1
loop_
_symmetry_equiv_pos_as_xyz
'x,y,z'
loop_
_atom_site_label
_atom_site_fract_x
_atom_site_fract_y
_atom_site_fract_z
_atom_site_occupancy
La1 0.7500 0.7500 0.7500 1
Ir1 0.0000 0.0000 0.0000 1
U1 0.2500 0.2500 0.2500 1
# Theoretical density = 11.51 g/cm³
# Polymorph energy (0 for the lowest one) = 0.000 eV/atom
# Space group = No. 216
# Formation enthalpy at 0 K = -0.047 eV per atom

Record 15
# LaZr2Ir2, relaxed, DFT GGA-PBE
data_LaZr2Ir2
_chemical_formula_sum 'La1 Zr2 Ir2'
_cell_length_a 6.4013
_cell_length_b 6.4013
_cell_length_c 6.4013
_cell_angle_alpha 138.18
_cell_angle_beta 138.18
_cell_angle_gamma 60.63
_symmetry_space_group_name_H-M 'P 1'
_symmetry_Int_Tables_number 1
loop_
_symmetry_equiv_pos_as_xyz
'x,y,z'
loop_
_atom_site_label
_atom_site_fract_x
_atom_site_fract_y
_atom_site_fract_z
_atom_site_occupancy
La1 0.0000 0.0000 0.0000 1
Ir1 0.3813 0.3813 0.0000 1
Zr1 0.2500 0.7500 0.5000 1
Zr2 0.7500 0.2500 0.5000 1
Ir2 0.6187 0.6187 0.0000 1
# Theoretical density = 10.16 g/cm³
# Space group = No. 139
# Formation enthalpy at 0 K = -0.767 eV per atom

Record 16
# La2ZrIr2, relaxed, DFT GGA-PBE
data_La2ZrIr2
_chemical_formula_sum 'La4 Zr2 Ir4'
_cell_length_a 7.3610
_cell_length_b 7.3610
_cell_length_c 4.4654
_cell_angle_alpha 90.00
_cell_angle_beta 90.00
_cell_angle_gamma 90.00
_symmetry_space_group_name_H-M 'P 1'
_symmetry_Int_Tables_number 1
loop_
_symmetry_equiv_pos_as_xyz
'x,y,z'
loop_
_atom_site_label
_atom_site_fract_x
_atom_site_fract_y
_atom_site_fract_z
_atom_site_occupancy
La1 0.3356 0.1644 0.5000 1
La2 0.6644 0.8356 0.5000 1
Zr1 0.5000 0.5000 0.0000 1
Ir1 0.8519 0.6481 0.0000 1
Ir2 0.3519 0.8519 0.0000 1
Ir3 0.1481 0.3519 0.0000 1
Zr2 0.0000 0.0000 0.0000 1
La3 0.1644 0.6644 0.5000 1
La4 0.8356 0.3356 0.5000 1
Ir4 0.6481 0.1481 0.0000 1
# Theoretical density = 10.34 g/cm³
# Space group = No. 127
# Formation enthalpy at 0 K = -0.575 eV per atom

Record 17
# LiIr, relaxed, DFT GGA-PBE
data_LiIr
_chemical_formula_sum 'Li3 Ir3'
_cell_length_a 2.6598
_cell_length_b 2.6598
_cell_length_c 13.1150
_cell_angle_alpha 90.00
_cell_angle_beta 90.00
_cell_angle_gamma 120.00
_symmetry_space_group_name_H-M 'P 1'
_symmetry_Int_Tables_number 1
loop_
_symmetry_equiv_pos_as_xyz
'x,y,z'
loop_
_atom_site_label
_atom_site_fract_x
_atom_site_fract_y
_atom_site_fract_z
_atom_site_occupancy
Li1 0.6667 0.3333 0.8339 1
Li2 0.0000 0.0000 0.5000 1
Li3 0.3333 0.6667 0.1661 1
Ir1 0.0000 0.0000 0.0000 1
Ir2 0.6667 0.3333 0.3331 1
Ir3 0.3333 0.6667 0.6669 1
# Theoretical density = 12.35 g/cm³
# Space group = No. 164

Record 18
# LiIr, relaxed, DFT GGA-PBE
data_LiIr
_chemical_formula_sum 'Li1 Ir1'
_cell_length_a 3.6870
_cell_length_b 3.6870
_cell_length_c 3.6870
_cell_angle_alpha 60.00
_cell_angle_beta 60.00
_cell_angle_gamma 60.00
_symmetry_space_group_name_H-M 'P 1'
_symmetry_Int_Tables_number 1
loop_
_symmetry_equiv_pos_as_xyz
'x,y,z'
loop_
_atom_site_label
_atom_site_fract_x
_atom_site_fract_y
_atom_site_fract_z
_atom_site_occupancy
Li1 0.2500 0.2500 0.2500 1
Ir1 0.0000 0.0000 0.0000 1
# Theoretical density = 9.33 g/cm³
# Space group = No. 216

Record 19
# LiIr, relaxed, DFT GGA-PBE
data_LiIr
_chemical_formula_sum 'Li1 Ir1'
_cell_length_a 3.3028
_cell_length_b 3.3028
_cell_length_c 3.3028
_cell_angle_alpha 60.00
_cell_angle_beta 60.00
_cell_angle_gamma 60.00
_symmetry_space_group_name_H-M 'P 1'
_symmetry_Int_Tables_number 1
loop_
_symmetry_equiv_pos_as_xyz
'x,y,z'
loop_
_atom_site_label
_atom_site_fract_x
_atom_site_fract_y
_atom_site_fract_z
_atom_site_occupancy
Ir1 0.0000 0.0000 0.0000 1
Li1 0.5000 0.5000 0.5000 1
# Theoretical density = 12.98 g/cm³
# Space group = No. 225

Record 20
# LiIr, relaxed, DFT GGA-PBE
data_LiIr
_chemical_formula_sum 'Li1 Ir1'
_cell_length_a 2.6607
_cell_length_b 2.6607
_cell_length_c 4.3909
_cell_angle_alpha 90.00
_cell_angle_beta 90.00
_cell_angle_gamma 120.00
_symmetry_space_group_name_H-M 'P 1'
_symmetry_Int_Tables_number 1
loop_
_symmetry_equiv_pos_as_xyz
'x,y,z'
loop_
_atom_site_label
_atom_site_fract_x
_atom_site_fract_y
_atom_site_fract_z
_atom_site_occupancy
Ir1 0.0000 0.0000 0.0000 1
Li1 0.3333 0.6666 0.5000 1
# Theoretical density = 12.28 g/cm³
# Space group = No. 187

Number 1: calculated total energy -113.3 eV/f.u.. Number 2: calculated total energy -19.5 eV/f.u.. Number 3: calculated total energy -19.6 eV/f.u.. Number 4: calculated total energy -25.1 eV/f.u.. Number 5: calculated total energy -49.4 eV/f.u.. Number 6: calculated total energy -44.3 eV/f.u.. Number 7: calculated total energy -23.1 eV/f.u.. Number 8: calculated total energy -22.6 eV/f.u.. Number 9: calculated total energy -28.7 eV/f.u.. Number 10: calculated total energy -22.3 eV/f.u.. Number 11: calculated total energy -46.9 eV/f.u.. Number 12: calculated total energy -24.0 eV/f.u.. Number 13: calculated total energy -18.1 eV/f.u.. Number 14: calculated total energy -25.2 eV/f.u.. Number 15: calculated total energy -43.6 eV/f.u.. Number 16: calculated total energy -39.0 eV/f.u.. Number 17: calculated total energy -11.2 eV/f.u.. Number 18: calculated total energy -6.9 eV/f.u.. Number 19: calculated total energy -9.1 eV/f.u.. Number 20: calculated total energy -11.2 eV/f.u..